! YTiF2, optimized geometry, DFT PBE; values from VASP
&SYSTEM
  ibrav = 0, nat = 8, ntyp = 3
/
ATOMIC_SPECIES
Y 88.91 Y.upf
Ti 47.87 Ti.upf
F 19.00 F.upf
ATOMIC_POSITIONS crystal
Y 0.0000 0.0000 0.0000
Y 0.7500 0.2500 0.5000
Ti 0.2500 0.7500 0.5000
Ti 0.5000 0.5000 0.0000
F 0.2510 0.6250 0.1260
F 0.3750 0.5010 0.6260
F 0.4990 0.1250 0.8740
F 0.8750 0.7490 0.3740
CELL_PARAMETERS angstrom
-2.3195 2.3195 6.3235
2.3195 -2.3195 6.3235
2.3195 2.3195 -6.3235
! Symmetry: No. 122
! E_form (uncorrected) (eV per atom): -1.84
! DOS at the Fermi energy (states/eV/f.u.): 0.296
! Distance to the lowest polymorph of the same formula (meV per atom): 94
! Crystal system: tetragonal